1.
Li6Zn2Au3 | PBE-GGA | optimized geometry

Unit cell a=4.7031 b=4.7031 c=9.9313 alpha=103.70 beta=103.70 gamma=90.00
Fractional coordinates of all 11 atoms:
1 Au 0.1562 0.1562 0.3124
2 Au 0.8438 0.8438 0.6876
3 Au 0.0000 0.0000 0.0000
4 Li 0.5915 0.0915 0.1831
5 Li 0.7064 0.7064 0.4127
6 Li 0.9085 0.4085 0.8169
7 Li 0.0915 0.5915 0.1831
8 Li 0.2936 0.2936 0.5873
9 Li 0.4085 0.9085 0.8169
10 Zn 0.4376 0.4376 0.8751
11 Zn 0.5624 0.5624 0.1249

## Properties
calculated formation energy = -139 meV per atom
DOS(E_F) = 4.34 states/eV per cell
V = 207 Å³ per cell
crystal system = tetragonal

---

2.
LaSb2 | PBE-GGA | optimized geometry

Unit cell a=4.4780 b=4.4780 c=18.5340 alpha=90.00 beta=90.00 gamma=91.20
Fractional coordinates of all 12 atoms:
1 Sb 0.8700 0.8700 0.9365
2 Sb 0.3806 0.8806 0.7500
3 Sb 0.6194 0.1194 0.2500
4 Sb 0.1194 0.6194 0.2500
5 Sb 0.3700 0.3700 0.5635
6 Sb 0.8806 0.3806 0.7500
7 Sb 0.1300 0.1300 0.0635
8 Sb 0.6300 0.6300 0.4365
9 La 0.8656 0.8656 0.6099
10 La 0.6344 0.6344 0.1099
11 La 0.1344 0.1344 0.3901
12 La 0.3656 0.3656 0.8901

## Properties
DOS(E_F) = 9.09 states/eV per cell
V = 372 Å³ per cell
crystal system = orthorhombic
ΔE_f (raw) = -0.876 eV per atom

---

3.
SrCdTe2 | PBE-GGA | optimized geometry

Unit cell a=5.4783 b=5.4783 c=5.4783 alpha=113.09 beta=113.09 gamma=102.46
Fractional coordinates of all 4 atoms:
1 Te 0.0000 0.0000 0.0000
2 Te 0.5000 0.5000 0.0000
3 Sr 0.7500 0.2500 0.5000
4 Cd 0.2500 0.7500 0.5000

## Properties
DOS(E_F) = 2.52 states/eV per cell
V = 125 Å³ per cell
crystal system = tetragonal
ΔE_f (raw) = -0.691 eV per atom